Record 1
Crystalline BaCa2ZnO4 at its relaxed geometry, computed with PBE.

```
data_BaCa2ZnO4
_chemical_formula_sum 'Ba4 Ca8 Zn4 O16'
_space_group_name_H-M_alt 'C m c m'
_space_group_IT_number 63
_space_group_name_Hall '-C 2c 2'
_cell_length_a 3.4940
_cell_length_b 11.8637
_cell_length_c 11.8901
_cell_angle_alpha 90.00
_cell_angle_beta 90.00
_cell_angle_gamma 90.00
loop_
_atom_site_label
_atom_site_fract_x
_atom_site_fract_y
_atom_site_fract_z
_atom_site_occupancy
Ba1 0.0000 0.1062 0.2500 1
Ca1 0.0000 0.3700 0.0434 1
Zn1 0.0000 0.1632 0.7500 1
O1 0.0000 0.0000 0.0000 1
O2 0.0000 0.2610 0.6171 1
O3 0.0000 0.4262 0.2500 1
```

Results
calculated total energy = -5.83 eV per atom
density of states at the Fermi level = 0.0 states/eV per cell
formation energy without anion corrections = -2.46 eV per atom
crystal system = orthorhombic
magnetization = 0.00 μB/cell

Record 2
Crystalline BaCa2Zr2O7 at its relaxed geometry, computed with PBE.

```
data_BaCa2Zr2O7
_chemical_formula_sum 'Ba2 Ca4 Zr4 O14'
_space_group_name_H-M_alt 'I m m 2'
_space_group_IT_number 44
_space_group_name_Hall 'I 2 -2'
_cell_length_a 4.3421
_cell_length_b 18.5273
_cell_length_c 4.5503
_cell_angle_alpha 90.00
_cell_angle_beta 90.00
_cell_angle_gamma 90.00
loop_
_atom_site_label
_atom_site_fract_x
_atom_site_fract_y
_atom_site_fract_z
_atom_site_occupancy
Ba1 0.0000 0.0000 0.0000 1
Ca1 0.0000 0.2558 0.5464 1
Zr1 0.0000 0.3900 0.0150 1
O1 0.0000 0.1139 0.5532 1
O2 0.0000 0.2760 0.0499 1
O3 0.0000 0.3874 0.5693 1
O4 0.0000 0.5000 0.0887 1
```

Results
calculated total energy = -7.92 eV per atom
density of states at the Fermi level = 0.0 states/eV per cell
formation energy without anion corrections = -3.11 eV per atom
crystal system = orthorhombic
magnetization = 0.00 μB/cell

Record 3
Crystalline BaCaZr2O6 at its relaxed geometry, computed with PBE.

```
data_BaCaZr2O6
_chemical_formula_sum 'Ba2 Ca2 Zr4 O12'
_space_group_name_H-M_alt 'C m m m'
_space_group_IT_number 65
_space_group_name_Hall '-C 2 2'
_cell_length_a 8.2570
_cell_length_b 8.3877
_cell_length_c 4.2314
_cell_angle_alpha 90.00
_cell_angle_beta 90.00
_cell_angle_gamma 90.00
loop_
_atom_site_label
_atom_site_fract_x
_atom_site_fract_y
_atom_site_fract_z
_atom_site_occupancy
Ba1 0.0000 0.0000 0.0000 1
Ca1 0.0000 0.5000 0.0000 1
Zr1 0.2500 0.2500 0.5000 1
O1 0.0000 0.2040 0.5000 1
O2 0.1934 0.5000 0.5000 1
O3 0.2500 0.2500 0.0000 1
```

Results
calculated total energy = -8.24 eV per atom
density of states at the Fermi level = 0.0 states/eV per cell
formation energy without anion corrections = -3.16 eV per atom
offset from the most stable computed form = 0.037 eV/atom
crystal system = orthorhombic
magnetization = 0.00 μB/cell

Record 4
Crystalline BaCaZr2O6 at its relaxed geometry, computed with PBE.

```
data_BaCaZr2O6
_chemical_formula_sum 'Ba2 Ca2 Zr4 O12'
_space_group_name_H-M_alt 'I m m 2'
_space_group_IT_number 44
_space_group_name_Hall 'I 2 -2'
_cell_length_a 5.9448
_cell_length_b 8.2683
_cell_length_c 5.8831
_cell_angle_alpha 90.00
_cell_angle_beta 90.00
_cell_angle_gamma 90.00
loop_
_atom_site_label
_atom_site_fract_x
_atom_site_fract_y
_atom_site_fract_z
_atom_site_occupancy
Ba1 0.0000 0.0000 0.0000 1
Ca1 0.0000 0.5000 0.0299 1
Zr1 0.0000 0.2508 0.5043 1
O1 0.0000 0.0000 0.4442 1
O2 0.0000 0.5000 0.6125 1
O3 0.2324 0.2964 0.2320 1
```

Results
calculated total energy = -8.27 eV per atom
density of states at the Fermi level = 0.0 states/eV per cell
formation energy without anion corrections = -3.20 eV per atom
offset from the most stable computed form = 0.000 eV/atom
crystal system = orthorhombic
magnetization = 0.00 μB/cell

Record 5
Crystalline Ba4CaZr5O15 at its relaxed geometry, computed with PBE.

```
data_Ba4CaZr5O15
_chemical_formula_sum 'Ba4 Ca1 Zr5 O15'
_space_group_name_H-M_alt 'P 4/m'
_space_group_IT_number 83
_space_group_name_Hall '-P 4'
_cell_length_a 9.4710
_cell_length_b 9.4710
_cell_length_c 4.2378
_cell_angle_alpha 90.00
_cell_angle_beta 90.00
_cell_angle_gamma 90.00
loop_
_atom_site_label
_atom_site_fract_x
_atom_site_fract_y
_atom_site_fract_z
_atom_site_occupancy
Ba1 0.1015 0.6992 0.0000 1
Ca1 0.5000 0.5000 0.0000 1
Zr1 0.0000 0.0000 0.5000 1
Zr2 0.2033 0.4012 0.5000 1
O1 0.0000 0.0000 0.0000 1
O2 0.0000 0.5000 0.5000 1
O3 0.1035 0.1993 0.5000 1
O4 0.2087 0.4033 0.0000 1
O5 0.3044 0.5978 0.5000 1
```

Results
calculated total energy = -8.26 eV per atom
density of states at the Fermi level = 0.0 states/eV per cell
formation energy without anion corrections = -3.19 eV per atom
offset from the most stable computed form = 0.013 eV/atom
crystal system = tetragonal
magnetization = 0.00 μB/cell

Record 6
Crystalline Ba4CaZr5O15 at its relaxed geometry, computed with PBE.

```
data_Ba4CaZr5O15
_chemical_formula_sum 'Ba16 Ca4 Zr20 O60'
_space_group_name_H-M_alt 'I -4 2 m'
_space_group_IT_number 121
_space_group_name_Hall 'I -4 2'
_cell_length_a 5.9485
_cell_length_b 5.9485
_cell_length_c 42.5205
_cell_angle_alpha 90.00
_cell_angle_beta 90.00
_cell_angle_gamma 90.00
loop_
_atom_site_label
_atom_site_fract_x
_atom_site_fract_y
_atom_site_fract_z
_atom_site_occupancy
Ba1 0.0000 0.0000 0.0000 1
Ba2 0.0000 0.0000 0.0998 1
Ba3 0.0000 0.0000 0.2011 1
Ba4 0.0000 0.0000 0.3988 1
Ba5 0.0000 0.0000 0.5000 1
Ca1 0.0000 0.0000 0.3004 1
Zr1 0.0000 0.5000 0.0504 1
Zr2 0.0000 0.5000 0.1514 1
Zr3 0.0000 0.5000 0.2500 1
O1 0.0000 0.5000 0.0000 1
O2 0.0000 0.5000 0.1009 1
O3 0.0000 0.5000 0.2007 1
O4 0.1948 0.1948 0.7456 1
O5 0.2034 0.2034 0.3457 1
O6 0.2102 0.2102 0.1500 1
O7 0.2268 0.2268 0.5503 1
O8 0.2267 0.2267 0.9496 1
```

Results
calculated total energy = -8.27 eV per atom
density of states at the Fermi level = 0.0 states/eV per cell
formation energy without anion corrections = -3.20 eV per atom
offset from the most stable computed form = 0.000 eV/atom
crystal system = tetragonal
magnetization = 0.00 μB/cell

Record 7
Crystalline BaCaZr4O12 at its relaxed geometry, computed with PBE.

```
data_BaCaZr4O12
_chemical_formula_sum 'Ba2 Ca2 Zr8 O24'
_space_group_name_H-M_alt 'A m m 2'
_space_group_IT_number 38
_space_group_name_Hall 'A 2 -2'
_cell_length_a 8.3077
_cell_length_b 8.3975
_cell_length_c 8.3041
_cell_angle_alpha 90.00
_cell_angle_beta 90.00
_cell_angle_gamma 90.00
loop_
_atom_site_label
_atom_site_fract_x
_atom_site_fract_y
_atom_site_fract_z
_atom_site_occupancy
Ba1 0.0000 0.0000 0.0000 1
Ca1 0.5000 0.0000 0.4395 1
Zr1 0.2572 0.2356 0.7206 1
O1 0.0000 0.2320 0.7270 1
O2 0.2430 0.0000 0.2460 1
O3 0.2445 0.2178 0.9723 1
O4 0.3062 0.0000 0.6702 1
O5 0.5000 0.2056 0.2495 1
```

Results
calculated total energy = -8.04 eV per atom
density of states at the Fermi level = 17.6 states/eV per cell
formation energy without anion corrections = -2.61 eV per atom
crystal system = orthorhombic
magnetization = 8.09 μB/cell

Record 8
Crystalline BaCaZr2O6 at its relaxed geometry, computed with PBE.

```
data_BaCaZr2O6
_chemical_formula_sum 'Ba1 Ca1 Zr2 O6'
_space_group_name_H-M_alt 'P 4/m m m'
_space_group_IT_number 123
_space_group_name_Hall '-P 4 2'
_cell_length_a 4.2084
_cell_length_b 4.2084
_cell_length_c 8.4123
_cell_angle_alpha 90.00
_cell_angle_beta 90.00
_cell_angle_gamma 90.00
loop_
_atom_site_label
_atom_site_fract_x
_atom_site_fract_y
_atom_site_fract_z
_atom_site_occupancy
Ba1 0.0000 0.0000 0.0000 1
Ca1 0.0000 0.0000 0.5000 1
Zr1 0.5000 0.5000 0.2554 1
O1 0.0000 0.5000 0.2607 1
O2 0.5000 0.5000 0.0000 1
O3 0.5000 0.5000 0.5000 1
```

Results
calculated total energy = -8.22 eV per atom
density of states at the Fermi level = 0.0 states/eV per cell
formation energy without anion corrections = -3.14 eV per atom
offset from the most stable computed form = 0.056 eV/atom
crystal system = tetragonal
magnetization = 0.00 μB/cell

Record 9
Crystalline Ba4CaZr5O15 at its relaxed geometry, computed with PBE.

```
data_Ba4CaZr5O15
_chemical_formula_sum 'Ba8 Ca2 Zr10 O30'
_space_group_name_H-M_alt 'C m m m'
_space_group_IT_number 65
_space_group_name_Hall '-C 2 2'
_cell_length_a 6.0006
_cell_length_b 29.9046
_cell_length_c 4.2372
_cell_angle_alpha 90.00
_cell_angle_beta 90.00
_cell_angle_gamma 90.00
loop_
_atom_site_label
_atom_site_fract_x
_atom_site_fract_y
_atom_site_fract_z
_atom_site_occupancy
Ba1 0.0000 0.0988 0.0000 1
Ba2 0.0000 0.3001 0.0000 1
Ca1 0.0000 0.5000 0.0000 1
Zr1 0.0000 0.0000 0.5000 1
Zr2 0.0000 0.1995 0.5000 1
Zr3 0.0000 0.4018 0.5000 1
O1 0.0000 0.0000 0.0000 1
O2 0.0000 0.1997 0.0000 1
O3 0.0000 0.4050 0.0000 1
O4 0.2473 0.4513 0.5000 1
O5 0.2490 0.3508 0.5000 1
O6 0.2500 0.2500 0.5000 1
```

Results
calculated total energy = -8.26 eV per atom
density of states at the Fermi level = 0.0 states/eV per cell
formation energy without anion corrections = -3.19 eV per atom
offset from the most stable computed form = 0.014 eV/atom
crystal system = orthorhombic
magnetization = 0.00 μB/cell

Record 10
Crystalline Ba4CaZr5O15 at its relaxed geometry, computed with PBE.

```
data_Ba4CaZr5O15
_chemical_formula_sum 'Ba4 Ca1 Zr5 O15'
_space_group_name_H-M_alt 'P 4/m m m'
_space_group_IT_number 123
_space_group_name_Hall '-P 4 2'
_cell_length_a 4.2366
_cell_length_b 4.2366
_cell_length_c 21.1816
_cell_angle_alpha 90.00
_cell_angle_beta 90.00
_cell_angle_gamma 90.00
loop_
_atom_site_label
_atom_site_fract_x
_atom_site_fract_y
_atom_site_fract_z
_atom_site_occupancy
Ba1 0.0000 0.0000 0.1005 1
Ba2 0.0000 0.0000 0.3021 1
Ca1 0.0000 0.0000 0.5000 1
Zr1 0.5000 0.5000 0.0000 1
Zr2 0.5000 0.5000 0.2013 1
Zr3 0.5000 0.5000 0.4031 1
O1 0.0000 0.5000 0.0000 1
O2 0.0000 0.5000 0.2017 1
O3 0.0000 0.5000 0.4056 1
O4 0.5000 0.5000 0.1007 1
O5 0.5000 0.5000 0.3020 1
O6 0.5000 0.5000 0.5000 1
```

Results
calculated total energy = -8.26 eV per atom
density of states at the Fermi level = 0.0 states/eV per cell
formation energy without anion corrections = -3.19 eV per atom
offset from the most stable computed form = 0.012 eV/atom
crystal system = tetragonal
magnetization = 0.00 μB/cell

Record 11
Crystalline Ba2CaOs at its relaxed geometry, computed with PBE.

```
data_Ba2CaOs
_chemical_formula_sum 'Ba4 Ca2 Os2'
_space_group_name_H-M_alt 'C 1 2/m 1'
_space_group_IT_number 12
_space_group_name_Hall '-C 2y'
_cell_length_a 18.0226
_cell_length_b 3.6453
_cell_length_c 5.0817
_cell_angle_alpha 90.00
_cell_angle_beta 106.30
_cell_angle_gamma 90.00
loop_
_atom_site_label
_atom_site_fract_x
_atom_site_fract_y
_atom_site_fract_z
_atom_site_occupancy
Ba1 0.1462 0.0000 0.1456 1
Ca1 0.0000 0.0000 0.5000 1
Os1 0.0000 0.5000 0.0000 1
```

Results
calculated total energy = -3.81 eV per atom
density of states at the Fermi level = 6.4 states/eV per cell
ΔH_f (0 K) = 0.4555 eV/atom
offset from the most stable computed form = 0.032 eV/atom
crystal system = monoclinic
magnetization = 0.00 μB/cell

Record 12
Crystalline BaCaOs2 at its relaxed geometry, computed with PBE.

```
data_BaCaOs2
_chemical_formula_sum 'Ba1 Ca1 Os2'
_space_group_name_H-M_alt 'P 4/m m m'
_space_group_IT_number 123
_space_group_name_Hall '-P 4 2'
_cell_length_a 3.9323
_cell_length_b 3.9323
_cell_length_c 6.8368
_cell_angle_alpha 90.00
_cell_angle_beta 90.00
_cell_angle_gamma 90.00
loop_
_atom_site_label
_atom_site_fract_x
_atom_site_fract_y
_atom_site_fract_z
_atom_site_occupancy
Ba1 0.0000 0.0000 0.0000 1
Ca1 0.0000 0.0000 0.5000 1
Os1 0.5000 0.5000 0.3316 1
```

Results
calculated total energy = -5.66 eV per atom
density of states at the Fermi level = 5.6 states/eV per cell
ΔH_f (0 K) = 0.9362 eV/atom
offset from the most stable computed form = 0.760 eV/atom
crystal system = tetragonal
magnetization = 0.54 μB/cell